DFT (GGA-PBE) results for crystalline Ce4RhAu2 at its relaxed geometry.

Output
**Energy above the lowest structure with this stoichiometry**: 0 meV/atom
**Symmetry**: No. 65
**Formation energy**: -0.45 eV per atom

Cell: 7.0275 10.1187 5.1852 Å, 90.00 90.00 90.00°
Closest atoms and distances in Å follow each position.
Fractional coordinates of all 14 atoms:
Ce 0.2064 0.0000 0.0000  1 Ce 2.90, 2 Rh 2.97, 4 Au 3.00-3.22
Ce 0.2500 0.2500 0.5000  2 Rh 3.08, 4 Au 3.15
Ce 0.2500 0.7500 0.5000  2 Rh 3.08, 4 Au 3.15
Ce 0.2936 0.5000 0.0000  1 Ce 2.90, 2 Rh 2.97, 4 Au 3.00-3.22
Ce 0.7064 0.5000 0.0000  1 Ce 2.90, 2 Rh 2.97, 4 Au 3.00-3.22
Ce 0.7500 0.2500 0.5000  2 Rh 3.08, 4 Au 3.15
Ce 0.7500 0.7500 0.5000  2 Rh 3.08, 4 Au 3.15
Ce 0.7936 0.0000 0.0000  1 Ce 2.90, 2 Rh 2.97, 4 Au 3.00-3.22
Rh 0.0000 0.0000 0.5000  8 Ce 2.97-3.08
Rh 0.5000 0.5000 0.5000  8 Ce 2.97-3.08
Au 0.0000 0.2842 0.0000  8 Ce 3.00-3.22
Au 0.0000 0.7158 0.0000  8 Ce 3.00-3.22
Au 0.5000 0.2158 0.0000  8 Ce 3.00-3.22
Au 0.5000 0.7842 0.0000  8 Ce 3.00-3.22